First-principles (GGA-PBEsol) data for crystalline Cu3Se2Cl2O6 at its relaxed geometry, as listed in the Alexandria database.

Formation energy without anion corrections: -633 meV per atom
Space group: C2/m (12)
Raw total energy: -64.44 eV for the cell shown
Magnetization: 0.2 μB/cell
V: 203.3 Å³ per cell
ΔE to the lowest computed polymorph: 0 meV per atom

Unit cell a=5.4808 b=5.4808 c=7.6052 alpha=76.50 beta=76.50 gamma=68.07
With the nearest neighbours (Å) after each atom.
Positions (direct):
Cu  0.6057  0.6057  0.1452  3 O 1.90-2.02
Cu  0.0000  0.0000  0.0000  4 O 1.92
Cu  0.3943  0.3943  0.8548  3 O 1.90-2.02
Se  0.1778  0.1778  0.2582  3 O 1.69-1.79
Se  0.8222  0.8222  0.7418  3 O 1.69-1.79
Cl  0.2912  0.2912  0.6277  1 Cu 2.18
Cl  0.7088  0.7088  0.3723  1 Cu 2.18
O  0.1010  0.7193  0.8584  1 Se 1.79, 2 Cu 1.90-1.92
O  0.8990  0.2807  0.1416  1 Se 1.79, 2 Cu 1.90-1.92
O  0.3623  0.3623  0.1281  1 Se 1.69
O  0.6377  0.6377  0.8719  1 Se 1.69
O  0.2807  0.8990  0.1416  1 Se 1.79, 2 Cu 1.90-1.92
O  0.7193  0.1010  0.8584  1 Se 1.79, 2 Cu 1.90-1.92

=====

First-principles (GGA-PBEsol) data for crystalline Sr2CuSe2Cl2O6 at its relaxed geometry, as listed in the Alexandria database.

Formation energy without anion corrections: -1584 meV per atom
Space group: P2_1/c (14)
Raw total energy: -143.64 eV for the cell shown
Magnetization: 1.9 μB/cell
V: 415.6 Å³ per cell

Unit cell a=5.2156 b=6.5005 c=12.2636 alpha=90.00 beta=91.62 gamma=90.00
With the nearest neighbours (Å) after each atom.
Positions (direct):
Sr  0.0184  0.7201  0.2311  4 O 2.53-2.66
Sr  0.5184  0.7799  0.7311  4 O 2.53-2.66
Sr  0.9816  0.2799  0.7689  4 O 2.53-2.66
Sr  0.4816  0.2201  0.2689  4 O 2.53-2.66
Cu  0.5000  0.5000  0.0000  4 O 1.97
Cu  0.0000  0.0000  0.5000  4 O 1.97
Se  0.9917  0.2491  0.0698  3 O 1.68-1.76
Se  0.4917  0.2509  0.5698  3 O 1.68-1.76
Se  0.0083  0.7509  0.9302  3 O 1.68-1.76
Se  0.5083  0.7491  0.4302  3 O 1.68-1.76
Cl  0.5447  0.8591  0.1149  1 Cu 2.73, 2 Sr 2.96-3.04
Cl  0.0447  0.6409  0.6149  1 Cu 2.73, 2 Sr 2.96-3.04
Cl  0.4553  0.1409  0.8851  1 Cu 2.73, 2 Sr 2.96-3.04
Cl  0.9553  0.3591  0.3851  1 Cu 2.73, 2 Sr 2.96-3.04
O  0.2205  0.4413  0.1001  1 Se 1.76, 1 Cu 1.97
O  0.7205  0.0587  0.6001  1 Se 1.76, 1 Cu 1.97
O  0.7795  0.5587  0.8999  1 Se 1.76, 1 Cu 1.97
O  0.2795  0.9413  0.3999  1 Se 1.76, 1 Cu 1.97
O  0.0537  0.0939  0.1773  1 Se 1.68
O  0.5537  0.4061  0.6773  1 Se 1.68
O  0.9463  0.9061  0.8227  1 Se 1.68
O  0.4463  0.5939  0.3227  1 Se 1.68
O  0.7308  0.3896  0.1159  1 Se 1.75
O  0.2308  0.1104  0.6159  1 Se 1.75
O  0.2692  0.6104  0.8841  1 Se 1.75
O  0.7692  0.8896  0.3841  1 Se 1.75

=====

First-principles (GGA-PBEsol) data for crystalline YCu3Se2ClO8 at its relaxed geometry, as listed in the Alexandria database.

Formation energy without anion corrections: -1196 meV per atom
Space group: Pmmn (59)
Raw total energy: -178.95 eV for the cell shown
Magnetization: 6.0 μB/cell
V: 409.2 Å³ per cell

Unit cell a=6.2687 b=6.9212 c=9.4304 alpha=90.00 beta=90.00 gamma=90.00
With the nearest neighbours (Å) after each atom.
Positions (direct):
Y  0.0000  0.7334  0.0000  8 O 2.28-2.44
Y  0.5000  0.2666  0.5000  8 O 2.28-2.44
Cu  0.7500  0.0000  0.2500  4 O 1.89-2.00
Cu  0.7500  0.0000  0.7500  4 O 1.89-2.00
Cu  0.2500  0.0000  0.2500  4 O 1.89-2.00
Cu  0.5000  0.7940  0.5000  4 O 1.91-1.95
Cu  0.0000  0.2060  0.0000  4 O 1.91-1.95
Cu  0.2500  0.0000  0.7500  4 O 1.89-2.00
Se  0.5000  0.5864  0.1887  3 O 1.72-1.73
Se  0.0000  0.4136  0.3113  3 O 1.72-1.73
Se  0.5000  0.5864  0.8113  3 O 1.72-1.73
Se  0.0000  0.4136  0.6887  3 O 1.72-1.73
Cl  0.0000  0.8494  0.5000  6 Cu 3.02-3.16
Cl  0.5000  0.1506  0.0000  6 Cu 3.02-3.16
O  0.0000  0.0040  0.1384  3 Cu 1.89-1.91
O  0.0000  0.4271  0.1287  1 Se 1.72
O  0.5000  0.5729  0.6287  1 Se 1.72
O  0.7139  0.7394  0.1616  1 Se 1.73
O  0.7861  0.2606  0.6616  1 Se 1.73
O  0.2139  0.2606  0.6616  1 Se 1.73
O  0.5000  0.9960  0.3617  3 Cu 1.89-1.91
O  0.2861  0.7394  0.1616  1 Se 1.73
O  0.2861  0.7394  0.8384  1 Se 1.73
O  0.2139  0.2606  0.3384  1 Se 1.73
O  0.0000  0.0040  0.8616  3 Cu 1.89-1.91
O  0.5000  0.9960  0.6384  3 Cu 1.89-1.91
O  0.7861  0.2606  0.3384  1 Se 1.73
O  0.7139  0.7394  0.8384  1 Se 1.73
O  0.5000  0.5729  0.3713  1 Se 1.72
O  0.0000  0.4271  0.8713  1 Se 1.72

=====

First-principles (GGA-PBEsol) data for crystalline SrCu2Te2Cl2O6 at its relaxed geometry, as listed in the Alexandria database.

Formation energy without anion corrections: -1228 meV per atom
Space group: P2_1 (4)
Raw total energy: -138.07 eV for the cell shown
Magnetization: 3.9 μB/cell
V: 420.2 Å³ per cell

Unit cell a=7.1609 b=7.1959 c=8.2101 alpha=90.00 beta=96.70 gamma=90.00
With the nearest neighbours (Å) after each atom.
Positions (direct):
Sr  0.6258  0.9535  0.5617  4 O 2.43-2.72
Sr  0.3742  0.4535  0.4383  4 O 2.43-2.72
Cu  0.8241  0.9445  0.0821  3 O 1.92-1.98
Cu  0.8587  0.4601  0.5868  4 O 1.92-1.97
Cu  0.1759  0.4445  0.9179  3 O 1.92-1.98
Cu  0.1413  0.9601  0.4132  4 O 1.92-1.97
Te  0.6313  0.5917  0.8862  3 O 1.89-1.91
Te  0.8525  0.3257  0.2620  3 O 1.93
Te  0.3687  0.0917  0.1138  3 O 1.89-1.91
Te  0.1475  0.8257  0.7380  3 O 1.93
Cl  0.3997  0.2058  0.7400  1 Cu 2.86, 2 Sr 2.94-3.04
Cl  0.0517  0.7233  0.1194  1 Cu 2.27
Cl  0.9483  0.2233  0.8806  1 Cu 2.27
Cl  0.6003  0.7058  0.2600  1 Cu 2.86, 2 Sr 2.94-3.04
O  0.0389  0.4031  0.4374  1 Cu 1.93, 1 Te 1.93
O  0.7008  0.2928  0.4396  1 Te 1.93, 1 Cu 1.97
O  0.9696  0.0845  0.2521  2 Cu 1.92-1.93, 1 Te 1.93
O  0.9611  0.9031  0.5626  1 Cu 1.93, 1 Te 1.93
O  0.6369  0.5768  0.6550  1 Te 1.91, 1 Cu 1.94
O  0.6945  0.8471  0.8828  1 Te 1.89, 1 Cu 1.92
O  0.3674  0.6336  0.8791  1 Te 1.91, 1 Cu 1.98
O  0.0304  0.5845  0.7479  2 Cu 1.92-1.93, 1 Te 1.93
O  0.3055  0.3471  0.1172  1 Te 1.89, 1 Cu 1.92
O  0.3631  0.0768  0.3450  1 Te 1.91, 1 Cu 1.94
O  0.6326  0.1336  0.1209  1 Te 1.91, 1 Cu 1.98
O  0.2992  0.7928  0.5604  1 Te 1.93, 1 Cu 1.97

=====

First-principles (GGA-PBEsol) data for crystalline Cu2Te2Cl2O5 at its relaxed geometry, as listed in the Alexandria database.

Formation energy without anion corrections: -788 meV per atom
Space group: P-4 (81)
Raw total energy: -109.30 eV for the cell shown
Magnetization: 3.9 μB/cell
V: 354.7 Å³ per cell

Unit cell a=6.3339 b=7.4834 c=7.4834 alpha=90.00 beta=90.00 gamma=90.00
With the nearest neighbours (Å) after each atom.
Positions (direct):
Cu  0.8461  0.4526  0.7346  3 O 1.94-1.95
Cu  0.8461  0.5474  0.2654  3 O 1.94-1.95
Cu  0.1539  0.7346  0.5474  3 O 1.94-1.95
Cu  0.1539  0.2654  0.4526  3 O 1.94-1.95
Te  0.3638  0.6551  0.1729  3 O 1.92-1.96
Te  0.6362  0.1729  0.3449  3 O 1.92-1.96
Te  0.6362  0.8271  0.6551  3 O 1.92-1.96
Te  0.3638  0.3449  0.8271  3 O 1.92-1.96
Cl  0.8031  0.7841  0.0925  1 Cu 2.21
Cl  0.8031  0.2159  0.9075  1 Cu 2.21
Cl  0.1969  0.9075  0.7841  1 Cu 2.21
Cl  0.1969  0.0925  0.2159  1 Cu 2.21
O  0.2202  0.5000  0.0000  2 Te 1.96
O  0.8625  0.3323  0.4110  1 Te 1.93, 2 Cu 1.94-1.95
O  0.5588  0.5334  0.7717  1 Te 1.92, 1 Cu 1.94
O  0.4412  0.7717  0.4666  1 Te 1.92, 1 Cu 1.94
O  0.5588  0.4666  0.2283  1 Te 1.92, 1 Cu 1.94
O  0.1375  0.4110  0.6677  1 Te 1.93, 2 Cu 1.94-1.95
O  0.7798  0.0000  0.5000  2 Te 1.96
O  0.4412  0.2283  0.5334  1 Te 1.92, 1 Cu 1.94
O  0.8625  0.6677  0.5890  1 Te 1.93, 2 Cu 1.94-1.95
O  0.1375  0.5890  0.3323  1 Te 1.93, 2 Cu 1.94-1.95

=====

First-principles (GGA-PBEsol) data for crystalline ZnCuTeCl2O3 at its relaxed geometry, as listed in the Alexandria database.

Formation energy without anion corrections: -949 meV per atom
Space group: Pccn (56)
Raw total energy: -294.39 eV for the cell shown
Magnetization: 0.0 μB/cell
V: 1124.7 Å³ per cell

Unit cell a=7.2945 b=9.9929 c=15.4301 alpha=90.00 beta=90.00 gamma=90.00
With the nearest neighbours (Å) after each atom.
Positions (direct):
Zn  0.8553  0.4833  0.6194  2 O 1.97-2.01
Zn  0.8553  0.0167  0.8806  2 O 1.97-2.01
Zn  0.6447  0.5167  0.1194  2 O 1.97-2.01
Zn  0.3553  0.4833  0.8806  2 O 1.97-2.01
Zn  0.1447  0.5167  0.3806  2 O 1.97-2.01
Zn  0.1447  0.9833  0.1194  2 O 1.97-2.01
Zn  0.3553  0.0167  0.6194  2 O 1.97-2.01
Zn  0.6447  0.9833  0.3806  2 O 1.97-2.01
Cu  0.8777  0.2356  0.4429  4 O 1.90-1.96
Cu  0.8777  0.2644  0.0571  4 O 1.90-1.96
Cu  0.3777  0.2356  0.0571  4 O 1.90-1.96
Cu  0.6223  0.7356  0.5571  4 O 1.90-1.96
Cu  0.1223  0.7356  0.9429  4 O 1.90-1.96
Cu  0.3777  0.2644  0.4429  4 O 1.90-1.96
Cu  0.6223  0.7644  0.9429  4 O 1.90-1.96
Cu  0.1223  0.7644  0.5571  4 O 1.90-1.96
Te  0.6867  0.0047  0.0920  3 O 1.92-1.96
Te  0.6867  0.4953  0.4080  3 O 1.92-1.96
Te  0.8133  0.9953  0.5920  3 O 1.92-1.96
Te  0.1867  0.4953  0.0920  3 O 1.92-1.96
Te  0.3133  0.9953  0.9080  3 O 1.92-1.96
Te  0.8133  0.5047  0.9080  3 O 1.92-1.96
Te  0.1867  0.0047  0.4080  3 O 1.92-1.96
Te  0.3133  0.5047  0.5920  3 O 1.92-1.96
Cl  0.4880  0.7083  0.1258  1 Zn 2.23
Cl  0.3165  0.4383  0.2735  1 Zn 2.22
Cl  0.5120  0.2917  0.8742  1 Zn 2.23
Cl  0.1835  0.5617  0.7735  1 Zn 2.22
Cl  0.6835  0.5617  0.7265  1 Zn 2.22
Cl  0.1835  0.9383  0.7265  1 Zn 2.22
Cl  0.4880  0.7917  0.3742  1 Zn 2.23
Cl  0.6835  0.9383  0.7735  1 Zn 2.22
Cl  0.5120  0.2083  0.6258  1 Zn 2.23
Cl  0.0120  0.2917  0.6258  1 Zn 2.23
Cl  0.9880  0.7083  0.3742  1 Zn 2.23
Cl  0.9880  0.7917  0.1258  1 Zn 2.23
Cl  0.3165  0.0617  0.2265  1 Zn 2.22
Cl  0.0120  0.2083  0.8742  1 Zn 2.23
Cl  0.8165  0.4383  0.2265  1 Zn 2.22
Cl  0.8165  0.0617  0.2735  1 Zn 2.22
O  0.6784  0.9489  0.9702  1 Cu 1.93, 1 Te 1.96, 1 Zn 2.01
O  0.3216  0.4489  0.4702  1 Cu 1.93, 1 Te 1.96, 1 Zn 2.01
O  0.1784  0.9489  0.5298  1 Cu 1.93, 1 Te 1.96, 1 Zn 2.01
O  0.0732  0.5807  0.5782  1 Cu 1.90, 1 Te 1.92, 1 Zn 1.97
O  0.3699  0.8091  0.9337  2 Cu 1.90-1.96, 1 Te 1.95
O  0.1301  0.3091  0.0663  2 Cu 1.90-1.96, 1 Te 1.95
O  0.6784  0.5511  0.5298  1 Cu 1.93, 1 Te 1.96, 1 Zn 2.01
O  0.4268  0.0807  0.4218  1 Cu 1.90, 1 Te 1.92, 1 Zn 1.97
O  0.6301  0.1909  0.0663  2 Cu 1.90-1.96, 1 Te 1.95
O  0.8216  0.0511  0.4702  1 Cu 1.93, 1 Te 1.96, 1 Zn 2.01
O  0.3216  0.0511  0.0298  1 Cu 1.93, 1 Te 1.96, 1 Zn 2.01
O  0.5732  0.5807  0.9218  1 Cu 1.90, 1 Te 1.92, 1 Zn 1.97
O  0.6301  0.3091  0.4337  2 Cu 1.90-1.96, 1 Te 1.95
O  0.8699  0.6909  0.9337  2 Cu 1.90-1.96, 1 Te 1.95
O  0.1784  0.5511  0.9702  1 Cu 1.93, 1 Te 1.96, 1 Zn 2.01
O  0.4268  0.4193  0.0782  1 Cu 1.90, 1 Te 1.92, 1 Zn 1.97
O  0.1301  0.1909  0.4337  2 Cu 1.90-1.96, 1 Te 1.95
O  0.3699  0.6909  0.5663  2 Cu 1.90-1.96, 1 Te 1.95
O  0.9268  0.0807  0.0782  1 Cu 1.90, 1 Te 1.92, 1 Zn 1.97
O  0.8699  0.8091  0.5663  2 Cu 1.90-1.96, 1 Te 1.95
O  0.5732  0.9193  0.5782  1 Cu 1.90, 1 Te 1.92, 1 Zn 1.97
O  0.0732  0.9193  0.9218  1 Cu 1.90, 1 Te 1.92, 1 Zn 1.97
O  0.9268  0.4193  0.4218  1 Cu 1.90, 1 Te 1.92, 1 Zn 1.97
O  0.8216  0.4489  0.0298  1 Cu 1.93, 1 Te 1.96, 1 Zn 2.01